VASP calculation (PBE) on a relaxed structure of HoInPbS3.

Cell: 7.570 7.570 11.023 Å, 90.00 90.00 149.71°
Fractional coordinates of all 12 atoms:
Ho (0.000, 0.000, 0.000)
Ho (0.000, 0.000, 0.500)
In (0.357, 0.643, 0.750)
In (0.643, 0.357, 0.250)
Pb (0.323, 0.677, 0.250)
Pb (0.677, 0.323, 0.750)
S (0.015, 0.985, 0.250)
S (0.372, 0.628, 0.003)
S (0.372, 0.628, 0.497)
S (0.628, 0.372, 0.503)
S (0.628, 0.372, 0.997)
S (0.985, 0.015, 0.750)

SG   Cmcm (63)

---

VASP calculation (PBE) on a relaxed structure of HoInPbSe3.

Cell: 7.648 7.648 11.517 Å, 90.00 90.00 149.17°
Fractional coordinates of all 12 atoms:
Ho (0.000, 0.000, 0.000)
Ho (0.000, 0.000, 0.500)
In (0.359, 0.641, 0.750)
In (0.641, 0.359, 0.250)
Pb (0.319, 0.681, 0.250)
Pb (0.681, 0.319, 0.750)
Se (0.006, 0.994, 0.250)
Se (0.366, 0.634, 0.003)
Se (0.366, 0.634, 0.497)
Se (0.634, 0.366, 0.503)
Se (0.634, 0.366, 0.997)
Se (0.994, 0.006, 0.750)

SG   Cmcm (63)

---

VASP calculation (PBE) on a relaxed structure of HoInPd.

Cell: 8.184 8.184 3.329 Å, 90.00 90.00 120.00°
Fractional coordinates of all 9 atoms:
Ho (0.000, 0.296, 0.000)
Ho (0.296, 0.000, 0.000)
Ho (0.704, 0.704, 0.000)
In (0.000, 0.000, 0.500)
In (0.333, 0.667, 0.000)
In (0.667, 0.333, 0.000)
Pd (0.000, 0.630, 0.500)
Pd (0.370, 0.370, 0.500)
Pd (0.630, 0.000, 0.500)

SG   P-62m (189)

---

VASP calculation (PBE) on a relaxed structure of HoInPd.

Cell: 7.468 7.468 4.027 Å, 90.00 90.00 120.00°
Fractional coordinates of all 9 atoms:
Ho (0.000, 0.588, 0.000)
Ho (0.412, 0.412, 0.000)
Ho (0.588, 0.000, 0.000)
In (0.000, 0.254, 0.500)
In (0.254, 0.000, 0.500)
In (0.746, 0.746, 0.500)
Pd (0.000, 0.000, 0.000)
Pd (0.333, 0.667, 0.500)
Pd (0.667, 0.333, 0.500)

SG   P-62m (189)

---

VASP calculation (PBE) on a relaxed structure of HoInPd.

Cell: 7.202 7.202 4.428 Å, 90.00 90.00 120.00°
Fractional coordinates of all 9 atoms:
Ho (0.000, 0.562, 0.000)
Ho (0.438, 0.438, 0.000)
Ho (0.562, 0.000, 0.000)
In (0.000, 0.000, 0.000)
In (0.333, 0.667, 0.500)
In (0.667, 0.333, 0.500)
Pd (0.000, 0.241, 0.500)
Pd (0.241, 0.000, 0.500)
Pd (0.759, 0.759, 0.500)

SG   P-62m (189)

---

VASP calculation (PBE) on a relaxed structure of HoInPd.

Cell: 4.808 4.808 4.808 Å, 60.00 60.00 60.00°
Fractional coordinates of all 3 atoms:
Ho (0.000, 0.000, 0.000)
In (0.750, 0.750, 0.750)
Pd (0.250, 0.250, 0.250)

SG   F-43m (216)

---

VASP calculation (PBE) on a relaxed structure of HoInPd.

Cell: 4.698 4.698 4.698 Å, 60.00 60.00 60.00°
Fractional coordinates of all 3 atoms:
Ho (0.000, 0.000, 0.000)
In (0.500, 0.500, 0.500)
Pd (0.250, 0.250, 0.250)

SG   F-43m (216)

---

VASP calculation (PBE) on a relaxed structure of Ho3In3Pd2Pt.

Cell: 7.680 7.680 3.851 Å, 90.00 90.00 120.00°
Fractional coordinates of all 9 atoms:
Ho (0.000, 0.597, 0.000)
Ho (0.403, 0.403, 0.000)
Ho (0.597, 0.000, 0.000)
In (0.000, 0.263, 0.500)
In (0.263, 0.000, 0.500)
In (0.737, 0.737, 0.500)
Pd (0.333, 0.667, 0.500)
Pd (0.667, 0.333, 0.500)
Pt (0.000, 0.000, 0.000)

SG   P-62m (189)

---

Number 1: M_tot 0.01 μB per cell, total energy -4.917 eV per atom. Number 2: M_tot 0.01 μB per cell, total energy -4.510 eV per atom. Number 3: M_tot 0.06 μB per cell, total energy -4.538 eV per atom. Number 4: M_tot 0.03 μB per cell, total energy -4.975 eV per atom. Number 5: M_tot 0.02 μB per cell, total energy -4.776 eV per atom. Number 6: M_tot 0.00 μB per cell, total energy -4.255 eV per atom. Number 7: M_tot 0.16 μB per cell, total energy -4.820 eV per atom. Number 8: M_tot 0.01 μB per cell, total energy -5.123 eV per atom.